Entry 1:
# Tc2SeBr, optimized geometry, DFT GGA-PBEsol
# Total magnetization ... 0.000 μB per atom
# Excess energy over the best structure of this formula in the dataset ... 256 meV/atom
# Theoretical density ... 8.17 g cm⁻³
# Crystal system ... orthorhombic
# DOS at the Fermi energy ... 3.2 states/eV/cell
data_Tc2SeBr
_chemical_formula_sum 'Tc2 Se1 Br1'
_cell_length_a 3.155
_cell_length_b 3.568
_cell_length_c 6.403
_cell_angle_alpha 90.00
_cell_angle_beta 90.00
_cell_angle_gamma 90.00
_symmetry_space_group_name_H-M 'P m m m'
_symmetry_Int_Tables_number 47
loop_
_symmetry_equiv_pos_as_xyz
'x,y,z'
'-x,-y,-z'
'-x,-y,z'
'x,y,-z'
'x,-y,-z'
'-x,y,z'
'-x,y,-z'
'x,-y,z'
loop_
_atom_site_label
_atom_site_type_symbol
_atom_site_fract_x
_atom_site_fract_y
_atom_site_fract_z
Tc1 Tc 0.000 0.000 0.176
Se1 Se 0.500 0.500 0.000
Br1 Br 0.000 0.500 0.500

Entry 2:
# TcSeBr3, optimized geometry, DFT GGA-PBEsol
# Total magnetization ... 0.119 μB per atom
# Total DFT energy (no corrections) ... -3.728 eV per atom
# Theoretical density ... 5.60 g cm⁻³
# Crystal system ... cubic
# DOS at the Fermi energy ... 3.3 states/eV/cell
data_TcSeBr3
_chemical_formula_sum 'Tc1 Se1 Br3'
_cell_length_a 4.981
_cell_length_b 4.981
_cell_length_c 4.981
_cell_angle_alpha 90.00
_cell_angle_beta 90.00
_cell_angle_gamma 90.00
_symmetry_space_group_name_H-M 'P m -3 m'
_symmetry_Int_Tables_number 221
_symmetry_space_group_name_Hall '-P 4 2 3'
loop_
_atom_site_label
_atom_site_type_symbol
_atom_site_fract_x
_atom_site_fract_y
_atom_site_fract_z
Tc1 Tc 0.000 0.000 0.000
Se1 Se 0.500 0.500 0.500
Br1 Br 0.000 0.000 0.500

Entry 3:
# TcSe2Br, optimized geometry, DFT GGA-PBEsol
# Total magnetization ... 0.001 μB per atom
# Excess energy over the best structure of this formula in the dataset ... 249 meV/atom
# Theoretical density ... 7.02 g cm⁻³
# Crystal system ... orthorhombic
# DOS at the Fermi energy ... 7.8 states/eV/cell
data_TcSe2Br
_chemical_formula_sum 'Tc2 Se4 Br2'
_cell_length_a 5.123
_cell_length_b 9.464
_cell_length_c 3.277
_cell_angle_alpha 90.00
_cell_angle_beta 90.00
_cell_angle_gamma 90.00
_symmetry_space_group_name_H-M 'C m m m'
_symmetry_Int_Tables_number 65
_symmetry_space_group_name_Hall '-C 2 2'
loop_
_atom_site_label
_atom_site_type_symbol
_atom_site_fract_x
_atom_site_fract_y
_atom_site_fract_z
Tc1 Tc 0.000 0.000 0.000
Se1 Se 0.000 0.195 0.500
Br1 Br 0.000 0.500 0.000